1.
An optimized crystal structure of Nd5Sc. Source: OQMD via LeMat-Bulk, functional PBE-GGA.

Lattice parameters (Å, degrees): 6.306 6.306 5.803 90.00 90.00 120.00
Sites, in units of the cell vectors:
Nd 0.000 0.679 0.000
Nd 0.321 0.321 0.000
Nd 0.333 0.667 0.500
Nd 0.667 0.333 0.500
Nd 0.679 0.000 0.000
Sc 0.000 0.000 0.500

Space-group type ... P-62m
Calculated formation energy ... 0.046 eV per atom
Total energy ... -4.9778 eV per atom
Magnetic moment ... 0.01 μB/f.u.

---

2.
An optimized crystal structure of NdSc2. Source: OQMD via LeMat-Bulk, functional PBE-GGA.

Lattice parameters (Å, degrees): 8.302 8.302 8.302 60.00 60.00 60.00
Sites, in units of the cell vectors:
Nd 0.125 0.125 0.125
Nd 0.875 0.875 0.875
Sc 0.000 0.000 0.000
Sc 0.000 0.000 0.500
Sc 0.000 0.500 0.000
Sc 0.500 0.000 0.000

Space-group type ... Fd-3m
Energy above the most stable polymorph in this dataset ... 2.532 eV/atom
Calculated formation energy ... 2.581 eV per atom
Total energy ... -3.2255 eV per atom
Magnetic moment ... 0.05 μB/f.u.

---

3.
An optimized crystal structure of NdSc2Si2. Source: OQMD via LeMat-Bulk, functional PBE-GGA.

Lattice parameters (Å, degrees): 7.605 7.605 3.640 90.00 90.00 90.00
Sites, in units of the cell vectors:
Nd 0.000 0.000 0.000
Nd 0.500 0.500 0.000
Sc 0.174 0.326 0.500
Sc 0.326 0.826 0.500
Sc 0.674 0.174 0.500
Sc 0.826 0.674 0.500
Si 0.114 0.614 0.000
Si 0.386 0.114 0.000
Si 0.614 0.886 0.000
Si 0.886 0.386 0.000

Space-group type ... P4/mbm
Total energy ... -6.2202 eV per atom
Magnetic moment ... 0.02 μB/f.u.

---

4.
An optimized crystal structure of NdScSi. Source: OQMD via LeMat-Bulk, functional PBE-GGA.

Lattice parameters (Å, degrees): 8.502 8.502 8.502 150.79 150.79 41.79
Sites, in units of the cell vectors:
Nd 0.177 0.177 0.000
Nd 0.823 0.823 0.000
Sc 0.000 0.500 0.500
Sc 0.500 0.000 0.500
Si 0.378 0.378 0.000
Si 0.622 0.622 0.000

Space-group type ... I4/mmm
Energy above the most stable polymorph in this dataset ... 0.000 eV/atom
Total energy ... -6.1288 eV per atom
Magnetic moment ... 0.85 μB/f.u.